Compound: Sm2GdMg3Pd2Au
Source: the Open Quantum Materials Database
Functional: PBE-GGA
Structure: optimized geometry

Properties
- Total DFT energy (no corrections): -38.4 eV per cell
- Magnetization: 0.0 μB/f.u.

a b c (Å): 4.123 7.575 7.575
angles (deg): 119.91 90.00 90.00
Fractional coordinates of all 9 atoms:
Mg (0.500, 0.000, 0.247)
Mg (0.500, 0.247, 0.000)
Mg (0.500, 0.753, 0.753)
Sm (0.000, 0.585, 0.000)
Sm (0.000, 0.000, 0.585)
Pd (0.500, 0.663, 0.334)
Pd (0.500, 0.334, 0.663)
Au (0.000, 0.002, 0.002)
Gd (0.000, 0.415, 0.415)